<A>
This record from OQMD via LeMat-Bulk describes a relaxed AcGdBe crystal. The functional is GGA-PBE.

POSCAR file:
```
AcGdBe
1.0
0.000 3.584 3.584
3.584 0.000 3.584
3.584 3.584 0.000
Ac Gd Be
1 1 1
Cartesian
0.000 0.000 0.000
1.792 1.792 1.792
5.376 5.376 5.376
```

Calculated volume (Å³/cell): 92.1
Space-group type: F-43m, No. 216
Spin magnetization (μB per cell): 0.0
Mass density (g/cm3): 7.09



<B>
This record from OQMD via LeMat-Bulk describes a relaxed AcGdBe crystal. The functional is GGA-PBE.

POSCAR file:
```
AcGdBe
1.0
0.000 3.568 3.568
3.568 0.000 3.568
3.568 3.568 0.000
Ac Gd Be
1 1 1
Cartesian
0.000 0.000 0.000
3.568 3.568 3.568
1.784 1.784 1.784
```

Calculated volume (Å³/cell): 90.8
Space-group type: F-43m, No. 216
Spin magnetization (μB per cell): 0.0
Mass density (g/cm3): 7.19



Most stable: <B>. Least stable: <A>.